(1)
The following is a GGA-PBE calculation of a relaxed TaMnPb2 crystal, from the Alexandria database.

Structure (POSCAR):
```
TaMnPb2
1.0
3.1756 0.0162 0.0000
-1.0374 3.0014 0.0000
0.0000 0.0000 9.0868
Ta Mn Pb
1 1 2
Direct
0.5000 0.5000 0.2500
0.5000 0.5000 0.7500
0.0000 0.0000 0.5075
0.0000 0.0000 0.9925
```

Output
The value obtained for the density of states at the Fermi level is 2.79 states/eV/f.u. As for the formation energy from the elements: 0.620 eV per atom. Its space group is Cmmm (65). The magnetization comes out at 3.66 μB/f.u.

(2)
The following is a GGA-PBE calculation of a relaxed TaMnPb2 crystal, from the Alexandria database.

Structure (POSCAR):
```
TaMnPb2
1.0
-1.9528 -3.2973 -4.1975
-4.6159 -3.1323 1.0898
1.5589 5.4310 0.6157
Pb Mn Ta
2 1 1
Direct
0.2500 0.7500 0.5000
0.0000 0.0000 0.0000
0.7500 0.2500 0.5000
0.5000 0.5000 0.0000
```

Output
The value obtained for the density of states at the Fermi level is 3.40 states/eV/f.u. As for the formation energy from the elements: 0.647 eV per atom. Its space group is I-4m2 (119). The magnetization comes out at 3.47 μB/f.u.

(3)
The following is a GGA-PBE calculation of a relaxed TaMnPb crystal, from the Alexandria database.

Structure (POSCAR):
```
TaMnPb
1.0
4.5758 0.0000 0.0000
-2.2879 3.9628 0.0000
0.0000 0.0000 3.0461
Ta Pb Mn
1 1 1
Direct
0.3333 0.6667 0.7251
0.6667 0.3333 0.2605
0.0000 0.0000 0.0144
```

Output
The value obtained for the density of states at the Fermi level is 1.16 states/eV/f.u. As for the formation energy from the elements: 0.544 eV per atom. Its space group is P3m1 (156). The magnetization comes out at 2.02 μB/f.u.

(4)
The following is a GGA-PBE calculation of a relaxed TaMnPb crystal, from the Alexandria database.

Structure (POSCAR):
```
TaMnPb
1.0
-3.5782 -4.3799 0.9283
0.7698 -5.1111 2.4673
0.8244 5.6555 0.3729
Ta Mn Pb
1 1 1
Direct
0.6367 0.6365 0.0002
0.0236 0.0237 0.9999
0.3397 0.3397 0.0000
```

Output
The value obtained for the density of states at the Fermi level is 1.92 states/eV/f.u. As for the formation energy from the elements: 0.423 eV per atom. Its space group is Cm (8). The magnetization comes out at 2.14 μB/f.u.

(5)
The following is a GGA-PBE calculation of a relaxed TaMnPb2 crystal, from the Alexandria database.

Structure (POSCAR):
```
TaMnPb2
1.0
-4.4733 1.1064 2.8928
-1.1549 -4.2495 3.1954
4.1887 3.3677 -0.8460
Pb Ta Mn
2 1 1
Direct
0.4921 0.4921 0.0000
0.0079 0.0079 0.0000
0.7500 0.2500 0.5000
0.2500 0.7500 0.5000
```

Output
The value obtained for the density of states at the Fermi level is 2.19 states/eV/f.u. As for the formation energy from the elements: 0.672 eV per atom. Its space group is Immm (71). The magnetization comes out at 3.68 μB/f.u.

(6)
The following is a GGA-PBE calculation of a relaxed TaMnPb2 crystal, from the Alexandria database.

Structure (POSCAR):
```
TaMnPb2
1.0
3.1634 0.0000 0.0000
0.0000 3.1634 0.0000
0.0000 0.0000 8.7045
Pb Mn Ta
2 1 1
Direct
0.0000 0.0000 0.9924
0.0000 0.0000 0.5076
0.5000 0.5000 0.7500
0.5000 0.5000 0.2500
```

Output
The value obtained for the density of states at the Fermi level is 2.37 states/eV/f.u. As for the formation energy from the elements: 0.668 eV per atom. Its space group is P4/mmm (123). The magnetization comes out at 3.98 μB/f.u.

(7)
The following is a GGA-PBE calculation of a relaxed TaMnPb2 crystal, from the Alexandria database.

Structure (POSCAR):
```
TaMnPb2
1.0
-5.6537 1.8650 -7.6448
-3.9846 -0.6674 -8.8070
-6.6221 -1.1625 -6.9772
Pb Ta Mn
2 1 1
Direct
0.0018 0.0018 0.0018
0.4982 0.4982 0.4982
0.2500 0.2500 0.2500
0.7500 0.7500 0.7500
```

Output
The value obtained for the density of states at the Fermi level is 3.66 states/eV/f.u. As for the formation energy from the elements: 0.617 eV per atom. Its space group is R-3m (166). The magnetization comes out at 3.97 μB/f.u.

(8)
The following is a GGA-PBE calculation of a relaxed TaMnPb2 crystal, from the Alexandria database.

Structure (POSCAR):
```
TaMnPb2
1.0
4.0772 0.0000 0.0000
0.0000 3.2068 0.3778
0.0000 1.3187 6.7098
Pb Ta Mn
2 1 1
Direct
0.0000 0.5404 0.5037
0.0000 0.9596 0.9963
0.5000 0.2500 0.2500
0.5000 0.7500 0.7500
```

Output
The value obtained for the density of states at the Fermi level is 2.62 states/eV/f.u. As for the formation energy from the elements: 0.656 eV per atom. Its space group is P2/m (10). The magnetization comes out at 3.55 μB/f.u.

(9)
The following is a GGA-PBE calculation of a relaxed TaMnPb2 crystal, from the Alexandria database.

Structure (POSCAR):
```
TaMnPb2
1.0
-2.8175 0.0872 -4.3622
-3.5045 -2.6150 -2.8027
-4.7503 2.3056 1.9022
Ta Mn Pb
1 1 2
Direct
0.7500 0.7500 0.7500
0.2500 0.2500 0.2500
0.5006 0.5006 0.5014
0.9994 0.9994 0.9986
```

Output
The value obtained for the density of states at the Fermi level is 3.12 states/eV/f.u. As for the formation energy from the elements: 0.667 eV per atom. Its space group is C2/m (12). The magnetization comes out at 3.70 μB/f.u.

(10)
The following is a GGA-PBE calculation of a relaxed TaMnPb2 crystal, from the Alexandria database.

Structure (POSCAR):
```
TaMnPb2
1.0
3.2342 0.0000 0.0000
0.0000 3.2342 0.0000
0.0000 0.0000 8.5775
Pb Mn Ta
2 1 1
Direct
0.5000 0.5000 0.3043
0.0000 0.0000 0.9331
0.5000 0.5000 0.6957
0.0000 0.0000 0.5669
```

Output
The value obtained for the density of states at the Fermi level is 2.84 states/eV/f.u. As for the formation energy from the elements: 0.280 eV per atom. Its space group is P4mm (99). The magnetization comes out at 0.14 μB/f.u.

(11)
The following is a GGA-PBE calculation of a relaxed TaMnPb crystal, from the Alexandria database.

Structure (POSCAR):
```
TaMnPb
1.0
-2.2902 -3.5321 -1.8259
0.9507 -4.2863 1.3336
-3.0224 -2.3353 2.5429
Ta Mn Pb
1 1 1
Direct
0.7500 0.7500 0.7500
0.0000 0.0000 0.0000
0.5000 0.5000 0.5000
```

Output
The value obtained for the density of states at the Fermi level is 4.94 states/eV/f.u. As for the formation energy from the elements: 1.001 eV per atom. Its space group is F-43m (216). The magnetization comes out at 2.11 μB/f.u.

(12)
The following is a GGA-PBE calculation of a relaxed TaMnPb2 crystal, from the Alexandria database.

Structure (POSCAR):
```
TaMnPb2
1.0
-4.2939 0.3948 -0.2032
0.0297 -1.7157 -3.9611
-3.1680 -9.8763 1.9018
Mn Pb Ta
2 4 2
Direct
0.5000 0.5000 0.0000
0.2500 0.7500 0.5000
0.3750 0.3763 0.7500
0.6237 0.1250 0.2500
0.8750 0.8737 0.7500
0.1263 0.6250 0.2500
0.7500 0.2500 0.5000
0.0000 0.0000 0.0000
```

Output
The value obtained for the density of states at the Fermi level is 3.86 states/eV/f.u. As for the formation energy from the elements: 0.899 eV per atom. Its space group is I-42d (122). The magnetization comes out at 2.87 μB/f.u.